Version P
VASP calculation (PBE) on crystalline LiTaIn2 at its relaxed geometry.

Geometry as extended XYZ:
```
4
Lattice="0.3923 -3.9267 -2.7955 0.2153 -4.3910 2.0150 -3.7330 -3.0440 -0.4311" Properties=species:S:1:pos:R:3 pbc="T T T"
In -0.7814 -2.8404 -0.3029
In -2.3441 -8.5213 -0.9087
Li 0.0000 0.0000 0.0000
Ta -1.5627 -5.6808 -0.6058
```

ρ ... 8.7 g cm⁻³
Symmetry ... Fm-3m

Version Q
VASP calculation (PBE) on crystalline LiTaIn2 at its relaxed geometry.

Geometry as extended XYZ:
```
4
Lattice="5.0812 0.0000 0.0001 0.0000 3.0377 0.0003 0.0001 -0.0002 5.0810" Properties=species:S:1:pos:R:3 pbc="T T T"
In 0.0001 0.3801 4.4477
In 2.5407 0.3794 1.9026
Li 0.0000 1.8984 1.9095
Ta 2.5407 1.8980 4.4431
```

ρ ... 8.8 g cm⁻³
Symmetry ... Pmm2

Stability, highest: version Q

Version P
VASP calculation (PBE) on crystalline LiTaIn2 at its relaxed geometry.

Geometry as extended XYZ:
```
4
Lattice="3.9601 0.0000 0.0000 0.0000 4.3873 0.0000 0.0000 0.0000 4.3873" Properties=species:S:1:pos:R:3 pbc="T T T"
In 0.0000 0.0000 0.0000
In 0.0000 2.1937 2.1937
Li 1.9801 2.1937 0.0000
Ta 1.9801 0.0000 2.1937
```

ρ ... 9.1 g cm⁻³
Symmetry ... P4/mmm

Version Q
VASP calculation (PBE) on crystalline LiTaIn2 at its relaxed geometry.

Geometry as extended XYZ:
```
4
Lattice="-0.6370 2.6254 4.9850 -0.2390 -0.2927 5.6574 4.6846 1.0605 1.8300" Properties=species:S:1:pos:R:3 pbc="T T T"
In -0.4203 2.4293 10.7924
In 2.4661 2.4513 9.1792
Li 2.2525 1.7762 6.3755
Ta 0.5387 0.7656 3.0037
```

ρ ... 8.6 g cm⁻³
Symmetry ... Cm

Version R
VASP calculation (PBE) on crystalline LiTaIn2 at its relaxed geometry.

Geometry as extended XYZ:
```
4
Lattice="3.0081 0.0000 0.0000 0.0000 3.9471 0.0000 0.0000 0.0000 6.5047" Properties=species:S:1:pos:R:3 pbc="T T T"
In 0.0000 0.0000 0.0845
In 0.0000 0.0000 3.1679
Li 1.5040 1.9735 1.6262
Ta 1.5040 1.9735 4.8785
```

ρ ... 9.0 g cm⁻³
Symmetry ... Pmmm

Version S
VASP calculation (PBE) on crystalline LiTaIn2 at its relaxed geometry.

Geometry as extended XYZ:
```
4
Lattice="-0.7694 0.9452 -4.7662 -3.3308 -0.0756 -3.6197 -1.9570 5.5625 0.5807" Properties=species:S:1:pos:R:3 pbc="T T T"
In -1.9568 5.5488 0.5689
In -3.0288 3.2298 -3.8908
Li -4.5430 4.8241 -5.8539
Ta -1.5143 1.6080 -1.9513
```

ρ ... 8.4 g cm⁻³
Symmetry ... C2/m

Stability, highest: version R